# MnP3O

A relaxed MnP3O crystal (GGA+U, the Alexandria database).

Calculated values
The distance to the lowest polymorph of the same formula comes out at 75.3 kJ per mole of atoms. The value obtained for the total energy is -4.49 eV per atom.

abc: 4.2361 4.2361 4.2361
angles: 90.00 90.00 90.00
Last column: nearest neighbours and their distance in Å.
Atoms (fractional coordinates):
P1 0.0000 0.5000 0.0000  2 Mn 2.12
P2 0.0000 0.0000 0.5000  2 Mn 2.12
P3 0.5000 0.0000 0.0000  2 Mn 2.12
Mn1 0.0000 0.0000 0.0000  6 P 2.12
O1 0.5000 0.5000 0.5000  12 P 3.00